Density functional theory data (GGA-PBE) for PrDy2Cd3AgAu2 after structural relaxation.

a = 3.8887 Å, b = 13.7667 Å, c = 7.8776 Å
α = 90.00°, β = 90.00°, γ = 90.00°
Last column: nearest neighbours and their distance in Å.
Space group Amm2 (No. 38)
Unique sites:
Pr  0.0000  0.0000  0.0000 (multiplicity 2)  4 Au 3.14, 1 Ag 3.22, 6 Cd 3.28-3.45
Dy  0.0000  0.2040  0.3889 (multiplicity 4)  4 Au 3.06-3.07, 1 Ag 3.23, 4 Cd 3.26-3.41
Cd  0.5000  0.0000  0.3353 (multiplicity 2)  2 Ag 2.80, 2 Au 3.01
Cd  0.5000  0.1319  0.7218 (multiplicity 4)  2 Ag 2.85, 2 Au 2.90-2.99
Ag  0.0000  0.0000  0.5907 (multiplicity 2)  6 Cd 2.80-2.85
Au  0.5000  0.1706  0.0955 (multiplicity 4)  3 Cd 2.90-3.01, 4 Dy 3.06-3.07, 2 Pr 3.14

## Properties
Its uncorrected energy is -3.46 eV/atom. As for the volume: 421.72 Å³/cell. As for the energy of formation: -55 kJ per mole of atoms.


Density functional theory data (GGA-PBE) for NdGdMg6 after structural relaxation.

a = 5.2140 Å, b = 5.2140 Å, c = 7.3817 Å
α = 90.00°, β = 90.00°, γ = 90.00°
Last column: nearest neighbours and their distance in Å.
Space group P4/mmm (No. 123)
Unique sites:
Nd  0.0000  0.0000  0.0000 (multiplicity 1)  8 Mg 3.21
Gd  0.5000  0.5000  0.5000 (multiplicity 1)  8 Mg 3.18
Mg  0.0000  0.0000  0.5000 (multiplicity 1)  8 Mg 3.18
Mg  0.0000  0.5000  0.2527 (multiplicity 4)  2 Gd 3.18, 4 Mg 3.18-3.21, 2 Nd 3.21
Mg  0.5000  0.5000  0.0000 (multiplicity 1)  8 Mg 3.21

## Properties
Its uncorrected energy is -2.44 eV/atom. As for the volume: 200.68 Å³/cell.


Density functional theory data (GGA-PBE) for Na4SbPd2Pb after structural relaxation.

a = 4.8849 Å, b = 4.8849 Å, c = 6.8989 Å
α = 90.00°, β = 90.00°, γ = 90.00°
Last column: nearest neighbours and their distance in Å.
Space group P-4m2 (No. 115)
Unique sites:
Na  0.0000  0.0000  0.0000 (multiplicity 1)  4 Pd 2.94, 4 Na 2.98
Na  0.0000  0.5000  0.2463 (multiplicity 2)  4 Na 2.98-3.00, 2 Sb 2.98, 2 Pb 3.00
Na  0.5000  0.5000  0.5000 (multiplicity 1)  4 Na 3.00, 4 Pd 3.04
Sb  0.5000  0.5000  0.0000 (multiplicity 1)  4 Pd 2.94, 4 Na 2.98
Pd  0.0000  0.5000  0.7620 (multiplicity 2)  2 Sb 2.94, 4 Na 2.94-3.04, 2 Pb 3.04
Pb  0.0000  0.0000  0.5000 (multiplicity 1)  4 Na 3.00, 4 Pd 3.04

## Properties
Its uncorrected energy is -3.18 eV/atom. As for the volume: 164.62 Å³/cell.